NaTaAu3 (meta-GGA SCAN, single point on PBEsol structure); formation enthalpy at 0 K = 0.3452 eV/atom; raw total energy = -276.54 eV for the cell shown; symmetry = Pm-3m; size of the total moment = 0.0 μB per formula unit; ρ = 10.0 Mg/m³
1.0
5.0925 0.0000 0.0000
0.0000 5.0925 0.0000
0.0000 0.0000 5.0925
Au Ta Na
3 1 1
direct
0.0000 0.5000 0.0000
0.0000 0.0000 0.5000
0.5000 0.0000 0.0000
0.0000 0.0000 0.0000
0.5000 0.5000 0.5000

=====

NaTa3Au (meta-GGA SCAN, single point on PBEsol structure); formation enthalpy at 0 K = 1.7465 eV/atom; raw total energy = -264.39 eV for the cell shown; symmetry = Pm-3m; size of the total moment = 0.0 μB per formula unit; ρ = 10.3 Mg/m³
1.0
4.9706 0.0000 0.0000
0.0000 4.9706 0.0000
0.0000 0.0000 4.9706
Au Ta Na
1 3 1
direct
0.0000 0.0000 0.0000
0.0000 0.5000 0.0000
0.0000 0.0000 0.5000
0.5000 0.0000 0.0000
0.5000 0.5000 0.5000

=====

NaTcAu3 (meta-GGA SCAN, single point on PBEsol structure); formation enthalpy at 0 K = 1.3261 eV/atom; raw total energy = -240.12 eV for the cell shown; symmetry = Pm-3m; size of the total moment = 4.0 μB per formula unit; ρ = 11.8 Mg/m³
1.0
-2.5411 -3.8865 -0.2392
1.6372 -1.3256 4.1451
-3.5330 2.1811 2.0929
Na Tc Au
1 1 3
direct
0.0000 0.0000 0.0000
0.5000 0.5000 0.5000
0.0000 0.0000 0.5000
0.0000 0.5000 0.0000
0.5000 0.0000 0.0000